[1]
## La2Cd4NiIr (PBE)

Data for a geometry-optimized La2Cd4NiIr structure.

abc: 8.5364 4.1987 10.0000
angles: 90.00 90.00 90.00
Space group Amm2 (No. 38)
Symmetry-distinct sites (fractional):
La 0.0000 0.0000 0.0000 [2 per cell]
La 0.5000 0.0000 0.1274 [2 per cell]
Cd 0.2104 0.0000 0.7134 [4 per cell]
Cd 0.3040 0.0000 0.4187 [4 per cell]
Ni 0.5000 0.0000 0.8439 [2 per cell]
Ir 0.0000 0.0000 0.2855 [2 per cell]

[2]
## LaY2Cd3Ir2Pt (PBE)

Data for a geometry-optimized LaY2Cd3Ir2Pt structure.

abc: 4.0070 13.0150 7.6048
angles: 90.00 90.00 90.00
Space group Amm2 (No. 38)
Symmetry-distinct sites (fractional):
La 0.0000 0.0000 0.0000 [2 per cell]
Y 0.0000 0.2045 0.6157 [4 per cell]
Cd 0.5000 0.0000 0.6638 [2 per cell]
Cd 0.5000 0.1299 0.2877 [4 per cell]
Ir 0.5000 0.1672 0.9145 [4 per cell]
Pt 0.0000 0.0000 0.4167 [2 per cell]

[3]
## LiCdMoIr (PBE)

Data for a geometry-optimized LiCdMoIr structure.

abc: 6.2512 6.2512 6.2512
angles: 90.00 90.00 90.00
Space group F-43m (No. 216)
Symmetry-distinct sites (fractional):
Li 0.0000 0.0000 0.0000 [4 per cell]
Cd 0.2500 0.2500 0.2500 [4 per cell]
Mo 0.2500 0.2500 0.7500 [4 per cell]
Ir 0.0000 0.0000 0.5000 [4 per cell]

Computed properties:
Polymorph energy (0 for the lowest one) (meV/atom): 0

[4]
## Li2Cd2NiSn2Ir (PBE)

Data for a geometry-optimized Li2Cd2NiSn2Ir structure.

abc: 4.5463 4.5463 6.4069
angles: 90.00 90.00 90.00
Space group P-4m2 (No. 115)
Symmetry-distinct sites (fractional):
Li 0.0000 0.0000 0.0000 [1 per cell]
Li 0.5000 0.5000 0.5000 [1 per cell]
Cd 0.0000 0.5000 0.2395 [2 per cell]
Ni 0.5000 0.5000 0.0000 [1 per cell]
Sn 0.0000 0.5000 0.7529 [2 per cell]
Ir 0.0000 0.0000 0.5000 [1 per cell]

The records above yield final energy values of -62.19 -100.43 -90.00 -30.08 eV for the cell shown, respectively.